[1]
VASP calculation (PBE) on an optimized crystal structure of Rb3Cd4Sb4.

a = 5.8090 Å, b = 7.4326 Å, c = 16.6298 Å
α = 90.00°, β = 90.00°, γ = 90.00°
Space group Immm (No. 71)
Symmetry-distinct sites (fractional):
Rb 0.0000 0.0000 0.0000 x2
Rb 0.0000 0.5000 0.1196 x4
Cd 0.0000 0.3031 0.3300 x8
Sb 0.0000 0.0000 0.2173 x4
Sb 0.0000 0.1936 0.5000 x4

Results
distance to the lowest polymorph of the same formula = 0.012 eV/atom



[2]
VASP calculation (PBE) on an optimized crystal structure of Pa3FeGe.

a = 14.7037 Å, b = 3.6120 Å, c = 8.0183 Å
α = 90.00°, β = 93.05°, γ = 90.00°
Space group C2/m (No. 12)
Symmetry-distinct sites (fractional):
Pa 0.0381 0.0000 0.2743 x4
Pa 0.1077 0.5000 0.9401 x4
Pa 0.2455 0.5000 0.3223 x4
Fe 0.2026 0.0000 0.0851 x4
Ge 0.0977 0.5000 0.5626 x4

Results
energy of formation = -0.28 eV per atom



[3]
VASP calculation (PBE) on an optimized crystal structure of Na2PdCl.

a = 7.4093 Å, b = 7.4093 Å, c = 7.3729 Å
α = 90.00°, β = 90.00°, γ = 90.00°
Space group I-42d (No. 122)
Symmetry-distinct sites (fractional):
Na 0.2227 0.7500 0.1250 x8
Pd 0.0000 0.0000 0.5000 x4
Cl 0.0000 0.0000 0.0000 x4

Results
distance to the lowest polymorph of the same formula = 0.000 eV/atom



[4]
VASP calculation (PBE) on an optimized crystal structure of ScCuTc3.

a = 4.4981 Å, b = 4.4981 Å, c = 4.4981 Å
α = 90.00°, β = 90.00°, γ = 90.00°
Space group Pm-3m (No. 221)
Symmetry-distinct sites (fractional):
Sc 0.0000 0.0000 0.0000 x1
Cu 0.5000 0.5000 0.5000 x1
Tc 0.0000 0.5000 0.5000 x3

Results
distance to the lowest polymorph of the same formula = 0.000 eV/atom
energy of formation = 1.23 eV per atom



[5]
VASP calculation (PBE) on an optimized crystal structure of Mn2AgSb.

a = 3.0832 Å, b = 3.0832 Å, c = 7.6058 Å
α = 90.00°, β = 90.00°, γ = 90.00°
Space group P4mm (No. 99)
Symmetry-distinct sites (fractional):
Mn 0.0000 0.0000 0.0000 x1
Mn 0.5000 0.5000 0.1721 x1
Ag 0.5000 0.5000 0.7643 x1
Sb 0.0000 0.0000 0.4321 x1

Results
total energy = -6.08 eV per atom



[6]
VASP calculation (PBE) on an optimized crystal structure of CeHgBrN.

a = 4.0313 Å, b = 4.0313 Å, c = 12.5876 Å
α = 90.00°, β = 90.00°, γ = 90.00°
Space group P4/nmm (No. 129, origin choice 2)
Symmetry-distinct sites (fractional):
Ce 0.2500 0.2500 0.0879 x2
Hg 0.2500 0.7500 0.5000 x2
Br 0.2500 0.2500 0.7711 x2
N 0.2500 0.7500 0.0000 x2

Results
total energy = -5.31 eV per atom



[7]
VASP calculation (PBE) on an optimized crystal structure of AcSi2Pt8.

a = 5.4342 Å, b = 5.4342 Å, c = 8.0094 Å
α = 90.00°, β = 90.00°, γ = 90.00°
Space group P4/mmm (No. 123)
Symmetry-distinct sites (fractional):
Ac 0.0000 0.0000 0.0000 x1
Si 0.0000 0.5000 0.5000 x2
Pt 0.2525 0.2525 0.3079 x8

Results
total energy = -6.20 eV per atom



[8]
VASP calculation (PBE) on an optimized crystal structure of HgTe2Br.

a = 7.5444 Å, b = 7.5444 Å, c = 7.5444 Å
α = 90.00°, β = 90.00°, γ = 90.00°
Space group Fm-3m (No. 225)
Symmetry-distinct sites (fractional):
Hg 0.0000 0.0000 0.0000 x4
Te 0.2500 0.2500 0.2500 x8
Br 0.0000 0.0000 0.5000 x4

Results
distance to the lowest polymorph of the same formula = 0.431 eV/atom